No. 1
VASP calculation (PBE) on a relaxed structure of Ac4IrAuS2.

a = 7.499 Å, b = 4.317 Å, c = 8.001 Å
α = 90.00°, β = 107.80°, γ = 90.00°
Positions (direct):
Ac (0.235, 0.000, 0.236)
Ac (0.239, 0.500, 0.760)
Ac (0.761, 0.500, 0.240)
Ac (0.765, 0.000, 0.764)
Ir (0.000, 0.500, 0.000)
Au (0.500, 0.000, 0.000)
S (0.000, 0.000, 0.500)
S (0.500, 0.500, 0.500)

Output
- Space-group type: P2/m, No. 10
- E_form (uncorrected): -1322 meV/atom

***

No. 2
VASP calculation (PBE) on a relaxed structure of Ac2Sb4Ir3Au.

a = 4.753 Å, b = 4.753 Å, c = 10.470 Å
α = 90.00°, β = 90.00°, γ = 90.00°
Positions (direct):
Ac (0.000, 0.500, 0.246)
Ac (0.500, 0.000, 0.754)
Sb (0.000, 0.000, 0.500)
Sb (0.000, 0.500, 0.865)
Sb (0.500, 0.000, 0.135)
Sb (0.500, 0.500, 0.500)
Ir (0.000, 0.000, 0.000)
Ir (0.000, 0.500, 0.615)
Ir (0.500, 0.000, 0.385)
Au (0.500, 0.500, 0.000)

Output
- Space-group type: P-4m2, No. 115
- E_form (uncorrected): -640 meV/atom

***

Summary of E_tot in eV per cell
-47.406, -60.963
(order as listed above)